# AcHo2Rh

A geometry-optimized AcHo2Rh structure (GGA-PBE, Alexandria via LeMat-Bulk).

Calculated values
spin magnetization = 0.00 μB/cell
excess energy over the best structure of this formula in the dataset = 83 meV per atom
formation energy from the elements = -0.40 eV/atom

```
data_AcHo2Rh
_space_group_name_H-M_alt 'R 3 m'
_space_group_IT_number 160
_space_group_name_Hall 'R 3 -2"'
_cell_length_a 4.0162
_cell_length_b 4.0162
_cell_length_c 27.5549
_cell_angle_alpha 90.00
_cell_angle_beta 90.00
_cell_angle_gamma 120.00
loop_
_atom_site_label
_atom_site_type_symbol
_atom_site_fract_x
_atom_site_fract_y
_atom_site_fract_z
_atom_site_occupancy
Ac1 Ac 0.0000 0.0000 0.0000 1
Ho1 Ho 0.0000 0.0000 0.2219 1
Ho2 Ho 0.0000 0.0000 0.4488 1
Rh1 Rh 0.0000 0.0000 0.8353 1
```